DFT (PBE+U) results for a relaxed structure of CaCo2F.

Structure (CIF):
```
data_CaCo2F
_space_group_name_H-M_alt 'F m -3 m'
_space_group_IT_number 225
_space_group_name_Hall '-F 4 2 3'
_cell_length_a 6.9161
_cell_length_b 6.9161
_cell_length_c 6.9161
_cell_angle_alpha 90.00
_cell_angle_beta 90.00
_cell_angle_gamma 90.00
loop_
_atom_site_label
_atom_site_fract_x
_atom_site_fract_y
_atom_site_fract_z
Ca1 0.0000 0.0000 0.0000
Co1 0.2500 0.2500 0.2500
F1 0.0000 0.0000 0.5000
```

Properties
Magnetic moment (μB/atom): 1.238
Relative energy among the computed polymorphs (eV/f.u.): 2.690
Final energy (eV/atom): -2.898
Fermi-level density of states (states/eV/cell): 14.79
Theoretical density (g cm⁻³): 3.55